Entry 1:
{"formula": "BaLa3Os", "functional": "PBE-GGA", "state": "relaxed", "cell": [[4.057, -2.342, 0.000], [0.000, 4.685, 0.000], [0.000, 0.000, 23.524]], "species": ["Os", "Os", "Ba", "La", "La", "Ba", "La", "La", "La", "La"], "fractional_positions": [[0.333, 0.667, 0.750], [0.667, 0.333, 0.250], [0.000, 0.000, 0.000], [0.333, 0.667, 0.867], [0.000, 0.000, 0.250], [0.000, 0.000, 0.500], [0.000, 0.000, 0.750], [0.667, 0.333, 0.133], [0.667, 0.333, 0.367], [0.333, 0.667, 0.633]], "e_form_ev_per_atom": 0.282, "total_magnetization_mub_per_atom": 0.000, "dft_energy_ev_per_fu": -26.527, "de_polymorph_ev_per_atom": 0.372, "n_ef_per_ev_cell": 12.83}

---

Entry 2:
{"formula": "BaLa3Os", "functional": "PBE-GGA", "state": "relaxed", "cell": [[10.287, 0.016, 0.000], [7.087, 9.595, -0.009], [7.101, 2.373, 4.126]], "species": ["Os", "La", "La", "La", "La", "Ba", "Ba", "Os", "La", "La"], "fractional_positions": [[0.826, 0.925, 0.690], [0.826, 0.152, 0.713], [0.326, 0.926, 0.689], [0.326, 0.926, 0.189], [0.826, 0.700, 0.165], [0.326, 0.426, 0.689], [0.326, 0.425, 0.190], [0.826, 0.926, 0.189], [0.826, 0.152, 0.213], [0.826, 0.700, 0.665]], "e_form_ev_per_atom": -0.086, "total_magnetization_mub_per_atom": 0.000, "dft_energy_ev_per_fu": -28.362, "de_polymorph_ev_per_atom": 0.005, "n_ef_per_ev_cell": 12.45}

---

Entry 3:
{"formula": "RbBaLa2Os", "functional": "PBE-GGA", "state": "relaxed", "cell": [[-5.341, -1.957, -0.286], [1.248, -3.973, 3.886], [-1.785, 4.164, 4.830]], "species": ["Os", "Rb", "La", "La", "Ba"], "fractional_positions": [[0.000, 0.000, 0.000], [0.500, 0.500, 0.500], [0.000, 0.500, 0.000], [0.500, 0.000, 0.000], [0.000, 0.000, 0.500]], "e_form_ev_per_atom": 0.173, "total_magnetization_mub_per_atom": 0.000, "dft_energy_ev_per_fu": -23.109, "n_ef_per_ev_cell": 5.60}

---

Entry 4:
{"formula": "BaLa2ReOs", "functional": "PBE-GGA", "state": "relaxed", "cell": [[-3.941, -1.446, 3.440], [2.888, -4.722, 1.323], [2.518, 2.662, 4.004]], "species": ["Os", "La", "La", "Ba", "Re"], "fractional_positions": [[0.000, 0.000, 0.000], [0.500, 0.000, 0.000], [0.000, 0.000, 0.500], [0.000, 0.500, 0.000], [0.500, 0.500, 0.500]], "e_form_ev_per_atom": 1.155, "total_magnetization_mub_per_atom": 0.015, "dft_energy_ev_per_fu": -29.678, "n_ef_per_ev_cell": 8.67}

---

Entry 5:
{"formula": "BaLaSc2Os", "functional": "PBE-GGA", "state": "relaxed", "cell": [[5.316, 0.000, 0.000], [0.000, 5.316, 0.000], [0.000, 0.000, 5.606]], "species": ["Os", "Sc", "Ba", "Sc", "La"], "fractional_positions": [[0.000, 0.000, 0.000], [0.500, 0.000, 0.000], [0.500, 0.500, 0.500], [0.000, 0.500, 0.000], [0.000, 0.000, 0.500]], "e_form_ev_per_atom": -0.037, "total_magnetization_mub_per_atom": 0.000, "dft_energy_ev_per_fu": -30.927, "n_ef_per_ev_cell": 4.53}

---

Entry 6:
{"formula": "BaSr2LaOs", "functional": "PBE-GGA", "state": "relaxed", "cell": [[6.240, 0.000, 0.000], [0.000, 6.240, 0.000], [0.000, 0.000, 5.374]], "species": ["Sr", "Ba", "La", "Sr", "Os"], "fractional_positions": [[0.500, 0.000, 0.000], [0.500, 0.500, 0.500], [0.000, 0.000, 0.500], [0.000, 0.500, 0.000], [0.000, 0.000, 0.000]], "e_form_ev_per_atom": 0.169, "total_magnetization_mub_per_atom": 0.000, "dft_energy_ev_per_fu": -20.599, "n_ef_per_ev_cell": 6.78}

---

Entry 7:
{"formula": "BaLaY2Os", "functional": "PBE-GGA", "state": "relaxed", "cell": [[5.628, 0.000, 0.000], [0.000, 5.628, 0.000], [0.000, 0.000, 5.663]], "species": ["Y", "La", "Y", "Ba", "Os"], "fractional_positions": [[0.500, 0.000, 0.000], [0.000, 0.000, 0.500], [0.000, 0.500, 0.000], [0.500, 0.500, 0.500], [0.000, 0.000, 0.000]], "e_form_ev_per_atom": -0.057, "total_magnetization_mub_per_atom": 0.000, "dft_energy_ev_per_fu": -31.292, "n_ef_per_ev_cell": 4.35}

---

Entry 8:
{"formula": "BaLa2YOs", "functional": "PBE-GGA", "state": "relaxed", "cell": [[5.730, 0.000, 0.000], [0.000, 5.730, 0.000], [0.000, 0.000, 5.698]], "species": ["La", "Ba", "Y", "La", "Os"], "fractional_positions": [[0.000, 0.500, 0.000], [0.500, 0.500, 0.500], [0.000, 0.000, 0.500], [0.500, 0.000, 0.000], [0.000, 0.000, 0.000]], "e_form_ev_per_atom": -0.058, "total_magnetization_mub_per_atom": 0.000, "dft_energy_ev_per_fu": -29.759, "n_ef_per_ev_cell": 4.05}

---

Entry 9:
{"formula": "BaLa2P", "functional": "PBE-GGA", "state": "relaxed", "cell": [[-1.059, 2.491, 3.858], [-4.259, -1.360, -0.291], [-0.633, -6.285, 3.885]], "species": ["P", "La", "Ba", "La"], "fractional_positions": [[0.000, 0.331, 0.463], [0.500, 0.446, 0.234], [0.500, 0.732, 0.659], [0.000, 0.991, 0.144]], "e_form_ev_per_atom": -0.484, "total_magnetization_mub_per_atom": 0.000, "dft_energy_ev_per_fu": -19.123, "n_ef_per_ev_cell": 3.86}

---

Entry 10:
{"formula": "BaLa2P", "functional": "PBE-GGA", "state": "relaxed", "cell": [[-3.815, 1.675, 4.937], [4.362, -4.640, 1.085], [2.408, 1.477, 2.690]], "species": ["La", "Ba", "P", "La"], "fractional_positions": [[0.500, 0.500, 0.000], [0.000, 0.500, 0.500], [0.500, 0.000, 0.500], [0.000, 0.000, 0.000]], "e_form_ev_per_atom": -0.123, "total_magnetization_mub_per_atom": 0.000, "dft_energy_ev_per_fu": -17.678, "n_ef_per_ev_cell": 4.35}

---

Entry 11:
{"formula": "BaLa2P", "functional": "PBE-GGA", "state": "relaxed", "cell": [[-8.227, 3.436, 2.859], [2.265, -1.959, 8.871], [-1.596, 3.790, 6.185]], "species": ["P", "P", "Ba", "La", "La", "La", "Ba", "La"], "fractional_positions": [[0.500, 0.500, 0.000], [0.250, 0.750, 0.500], [0.000, 0.000, 0.000], [0.213, 0.625, 0.250], [0.537, 0.125, 0.250], [0.875, 0.787, 0.750], [0.750, 0.250, 0.500], [0.375, 0.463, 0.750]], "e_form_ev_per_atom": -0.416, "total_magnetization_mub_per_atom": 0.000, "dft_energy_ev_per_fu": -18.853, "n_ef_per_ev_cell": 17.08}

---

Entry 12:
{"formula": "BaLa2P", "functional": "PBE-GGA", "state": "relaxed", "cell": [[-2.871, -2.810, 0.583], [1.962, -1.320, 3.300], [-4.454, 5.562, 4.874]], "species": ["P", "Ba", "La", "La"], "fractional_positions": [[0.000, 0.000, 0.418], [0.500, 0.500, 0.701], [0.000, 0.000, 0.067], [0.500, 0.500, 0.314]], "e_form_ev_per_atom": -0.535, "total_magnetization_mub_per_atom": 0.000, "dft_energy_ev_per_fu": -19.326, "n_ef_per_ev_cell": 5.93}

---

Entry 13:
{"formula": "Ba4LaP", "functional": "PBE-GGA", "state": "relaxed", "cell": [[0.000, 5.160, 5.160], [5.160, 0.000, 5.160], [5.160, 5.160, 0.000]], "species": ["Ba", "P", "La", "Ba", "Ba", "Ba"], "fractional_positions": [[0.374, 0.374, 0.374], [0.000, 0.000, 0.000], [0.750, 0.750, 0.750], [0.374, 0.879, 0.374], [0.879, 0.374, 0.374], [0.374, 0.374, 0.879]], "e_form_ev_per_atom": 0.555, "total_magnetization_mub_per_atom": 0.441, "dft_energy_ev_per_fu": -14.696, "n_ef_per_ev_cell": 10.14}

---

Entry 14:
{"formula": "Ba3LaP", "functional": "PBE-GGA", "state": "relaxed", "cell": [[6.130, 0.000, 0.000], [0.000, 6.130, 0.000], [0.000, 0.000, 6.130]], "species": ["P", "Ba", "La", "Ba", "Ba"], "fractional_positions": [[0.500, 0.500, 0.500], [0.000, 0.000, 0.500], [0.000, 0.000, 0.000], [0.000, 0.500, 0.000], [0.500, 0.000, 0.000]], "e_form_ev_per_atom": 0.765, "total_magnetization_mub_per_atom": 0.214, "dft_energy_ev_per_fu": -12.278, "de_polymorph_ev_per_atom": 0.945, "n_ef_per_ev_cell": 6.18}

---

Entry 15:
{"formula": "BaLaP4", "functional": "PBE-GGA", "state": "relaxed", "cell": [[0.000, 3.991, 3.991], [3.991, 0.000, 3.991], [3.991, 3.991, 0.000]], "species": ["P", "La", "Ba", "P", "P", "P"], "fractional_positions": [[0.370, 0.370, 0.370], [0.000, 0.000, 0.000], [0.750, 0.750, 0.750], [0.370, 0.370, 0.890], [0.890, 0.370, 0.370], [0.370, 0.890, 0.370]], "e_form_ev_per_atom": -0.347, "total_magnetization_mub_per_atom": 0.000, "dft_energy_ev_per_fu": -30.569, "n_ef_per_ev_cell": 4.13}

---

Entry 16:
{"formula": "BaLa2P", "functional": "PBE-GGA", "state": "relaxed", "cell": [[-1.948, 1.298, 3.213], [-5.163, -4.519, -1.305], [-0.173, -6.509, 2.524]], "species": ["P", "Ba", "La", "La"], "fractional_positions": [[0.500, 0.250, 0.250], [0.500, 0.750, 0.750], [0.000, 0.416, 0.416], [0.000, 0.084, 0.084]], "e_form_ev_per_atom": -0.521, "total_magnetization_mub_per_atom": 0.198, "dft_energy_ev_per_fu": -19.273, "n_ef_per_ev_cell": 6.23}

---

Entry 17:
{"formula": "BaLa2P", "functional": "PBE-GGA", "state": "relaxed", "cell": [[7.085, 0.041, 0.037], [5.967, 3.819, 0.037], [3.937, 1.164, 5.725]], "species": ["La", "La", "P", "Ba"], "fractional_positions": [[0.017, 0.017, 0.924], [0.842, 0.842, 0.603], [0.454, 0.454, 0.716], [0.187, 0.187, 0.258]], "e_form_ev_per_atom": -0.535, "total_magnetization_mub_per_atom": 0.096, "dft_energy_ev_per_fu": -19.329, "n_ef_per_ev_cell": 6.39}

---

Entry 18:
{"formula": "Ba3LaP", "functional": "PBE-GGA", "state": "relaxed", "cell": [[-6.098, 1.574, 0.440], [-1.055, -2.493, -5.704], [-1.248, -5.583, 2.671]], "species": ["La", "Ba", "P", "Ba", "Ba"], "fractional_positions": [[0.500, 0.500, 0.500], [0.000, 0.500, 0.000], [0.000, 0.000, 0.000], [0.000, 0.000, 0.500], [0.500, 0.000, 0.000]], "e_form_ev_per_atom": -0.180, "total_magnetization_mub_per_atom": 0.235, "dft_energy_ev_per_fu": -17.005, "de_polymorph_ev_per_atom": 0.000, "n_ef_per_ev_cell": 8.86}

---

Entry 19:
{"formula": "BaLa2P", "functional": "PBE-GGA", "state": "relaxed", "cell": [[-8.006, 2.415, -1.431], [-6.960, -3.244, -3.606], [6.543, -0.124, 5.399]], "species": ["P", "La", "Ba", "La"], "fractional_positions": [[0.508, 0.508, 0.000], [0.007, 0.007, 0.000], [0.334, 0.834, 0.500], [0.652, 0.152, 0.500]], "e_form_ev_per_atom": -0.500, "total_magnetization_mub_per_atom": 0.153, "dft_energy_ev_per_fu": -19.186, "n_ef_per_ev_cell": 5.82}

---

Entry 20:
{"formula": "BaLa2P", "functional": "PBE-GGA", "state": "relaxed", "cell": [[5.616, 0.000, 0.000], [2.808, 4.863, 0.000], [2.808, 1.621, 4.585]], "species": ["P", "La", "La", "Ba"], "fractional_positions": [[0.750, 0.750, 0.750], [0.250, 0.250, 0.250], [0.000, 0.000, 0.000], [0.500, 0.500, 0.500]], "e_form_ev_per_atom": 0.038, "total_magnetization_mub_per_atom": 0.794, "dft_energy_ev_per_fu": -17.036, "n_ef_per_ev_cell": 4.75}